No. 1
Material: Zr2SeCl
Method: DFT, PBE-GGA
State: relaxed

Properties
Uncorrected formation energy: -0.81 eV per atom
Energy above the lowest structure with this stoichiometry: 0.677 eV/f.u.
E: -6.42 eV per atom

a b c (Å): 3.3310 3.3310 24.7966
angles (deg): 90.00 90.00 120.00
Space group R-3m (No. 166, hexagonal axes)
Unique sites:
Zr  0.0000  0.0000  0.2474 [6 per cell]
Se  0.0000  0.0000  0.5000 [3 per cell]
Cl  0.0000  0.0000  0.0000 [3 per cell]

No. 2
Material: Cs2NaHg
Method: DFT, PBE-GGA
State: relaxed

Properties
Energy of formation: -0.116 eV per atom
Energy above the lowest structure with this stoichiometry: 0.000 eV/f.u.
E: -0.95 eV per atom

a b c (Å): 12.718 8.081 5.212
angles (deg): 90.00 114.11 90.00
Space group C2 (No. 5)
Unique sites:
Cs  0.196  0.000  0.196 [4 per cell]
Na  0.000  0.509  0.000 [2 per cell]
Hg  0.000  0.750  0.500 [2 per cell]

No. 3
Material: Zr2HgPb
Method: DFT, PBE-GGA
State: relaxed

Properties
Energy of formation: 0.082 eV per atom
Energy above the lowest structure with this stoichiometry: 1.028 eV/f.u.
E: -5.19 eV per atom

a b c (Å): 7.956 7.956 6.232
angles (deg): 90.00 90.00 90.00
Space group I-42d (No. 122)
Unique sites:
Zr  0.244  0.750  0.125 [8 per cell]
Hg  0.000  0.000  0.000 [4 per cell]
Pb  0.000  0.000  0.500 [4 per cell]